A plane-wave DFT calculation with GGA-PBE was carried out for a relaxed YHo12Co5 crystal.

abc: 8.330 8.330 8.330
angles: 106.80 111.12 110.53
Element x y z (fractional)
Ho (0.688, 0.314, 0.002)
Ho (0.312, 0.686, 0.998)
Ho (0.526, 0.818, 0.708)
Ho (0.110, 0.818, 0.292)
Ho (0.474, 0.182, 0.292)
Ho (0.312, 0.314, 0.626)
Ho (0.688, 0.686, 0.374)
Ho (0.809, 0.607, 0.798)
Ho (0.191, 0.393, 0.202)
Ho (0.191, 0.990, 0.798)
Ho (0.809, 0.010, 0.202)
Ho (0.890, 0.182, 0.708)
Co (0.625, 0.625, 0.000)
Co (0.000, 0.000, 0.000)
Co (0.375, 0.375, 0.000)
Co (0.500, 0.887, 0.387)
Co (0.500, 0.113, 0.613)
Y (0.000, 0.500, 0.500)

---

A plane-wave DFT calculation with GGA-PBE was carried out for a relaxed Pr3Er4Pb4 crystal.

abc: 5.181 3.911 17.386
angles: 96.46 98.57 90.00
Element x y z (fractional)
Pr (0.353, 0.853, 0.707)
Pr (0.000, 0.000, 0.000)
Pr (0.647, 0.147, 0.293)
Pb (0.815, 0.315, 0.631)
Pb (0.548, 0.548, 0.096)
Pb (0.185, 0.685, 0.369)
Pb (0.452, 0.452, 0.904)
Er (0.262, 0.262, 0.524)
Er (0.094, 0.594, 0.189)
Er (0.738, 0.738, 0.476)
Er (0.906, 0.406, 0.811)

---

For each record above, in turn, the calculated E values are -5.5158 -4.5920 eV/atom.
For each record above, in turn, the calculated energy of formation values are -0.131 -0.281 eV per atom.